# Pr6Se5

A relaxed structure of Pr6Se5 (PBE, the Alexandria database).

Structure (CIF):
```
data_Pr6Se5
_chemical_formula_sum 'Pr12 Se10'
_space_group_name_H-M_alt 'C 1 2/m 1'
_space_group_IT_number 12
_space_group_name_Hall '-C 2y'
_cell_length_a 7.362
_cell_length_b 12.642
_cell_length_c 7.346
_cell_angle_alpha 90.00
_cell_angle_beta 109.32
_cell_angle_gamma 90.00
loop_
_atom_site_label
_atom_site_type_symbol
_atom_site_fract_x
_atom_site_fract_y
_atom_site_fract_z
Pr1 Pr 0.248 0.000 0.256
Pr2 Pr 0.249 0.169 0.750
Se1 Se 0.000 0.000 0.500
Se2 Se 0.000 0.165 0.000
Se3 Se 0.000 0.332 0.500
```

E_tot (eV/cell): -128.7
D(E_F) (states/eV per cell): 10.70

# PrSe4

A relaxed structure of PrSe4 (PBE, the Alexandria database).

Structure (CIF):
```
data_PrSe4
_chemical_formula_sum 'Pr1 Se4'
_space_group_name_H-M_alt 'P m -3 m'
_space_group_IT_number 221
_space_group_name_Hall '-P 4 2 3'
_cell_length_a 5.807
_cell_length_b 5.807
_cell_length_c 5.807
_cell_angle_alpha 90.00
_cell_angle_beta 90.00
_cell_angle_gamma 90.00
loop_
_atom_site_label
_atom_site_type_symbol
_atom_site_fract_x
_atom_site_fract_y
_atom_site_fract_z
Pr1 Pr 0.000 0.000 0.000
Se1 Se 0.000 0.000 0.500
Se2 Se 0.500 0.500 0.500
```

E_tot (eV/cell): -18.3
D(E_F) (states/eV per cell): 4.50

# Pr2Se3

A relaxed structure of Pr2Se3 (PBE, the Alexandria database).

Structure (CIF):
```
data_Pr2Se3
_chemical_formula_sum 'Pr32 Se48'
_space_group_name_H-M_alt 'I -4 2 d'
_space_group_IT_number 122
_space_group_name_Hall 'I -4 2bw'
_cell_length_a 9.006
_cell_length_b 9.006
_cell_length_c 26.990
_cell_angle_alpha 90.00
_cell_angle_beta 90.00
_cell_angle_gamma 90.00
loop_
_atom_site_label
_atom_site_type_symbol
_atom_site_fract_x
_atom_site_fract_y
_atom_site_fract_z
Pr1 Pr 0.000 0.000 0.166
Pr2 Pr 0.120 0.750 0.625
Pr3 Pr 0.134 0.742 0.960
Se1 Se 0.073 0.674 0.183
Se2 Se 0.074 0.679 0.854
Se3 Se 0.081 0.672 0.516
```

E_tot (eV/cell): -471.9

# PrSiSe4

A relaxed structure of PrSiSe4 (PBE, the Alexandria database).

Structure (CIF):
```
data_PrSiSe4
_chemical_formula_sum 'Pr4 Si4 Se16'
_space_group_name_H-M_alt 'I 41/a m d'
_space_group_IT_number 141
_cell_length_a 9.697
_cell_length_b 9.697
_cell_length_c 7.809
_cell_angle_alpha 90.00
_cell_angle_beta 90.00
_cell_angle_gamma 90.00
loop_
_space_group_symop_operation_xyz
'x,y,z'
'-x,-y,-z'
'-y+1/4,x+3/4,z+1/4'
'y+1/4,-x+3/4,-z+1/4'
'-x+1/2,-y,z+1/2'
'x+1/2,y,-z+1/2'
'y+1/4,-x+1/4,z+3/4'
'-y+1/4,x+1/4,-z+3/4'
'x,-y,-z'
'-x,y,z'
'-y+1/4,-x+1/4,-z+3/4'
'y+1/4,x+1/4,z+3/4'
'-x+1/2,y,-z+1/2'
'x+1/2,-y,z+1/2'
'y+1/4,x+3/4,-z+1/4'
'-y+1/4,-x+3/4,z+1/4'
'x+1/2,y+1/2,z+1/2'
'-x+1/2,-y+1/2,-z+1/2'
'-y+3/4,x+1/4,z+3/4'
'y+3/4,-x+1/4,-z+3/4'
'-x,-y+1/2,z'
'x,y+1/2,-z'
'y+3/4,-x+3/4,z+1/4'
'-y+3/4,x+3/4,-z+1/4'
'x+1/2,-y+1/2,-z+1/2'
'-x+1/2,y+1/2,z+1/2'
'-y+3/4,-x+3/4,-z+1/4'
'y+3/4,x+3/4,z+1/4'
'-x,y+1/2,-z'
'x,-y+1/2,z'
'y+3/4,x+1/4,-z+3/4'
'-y+3/4,-x+1/4,z+3/4'
loop_
_atom_site_label
_atom_site_type_symbol
_atom_site_fract_x
_atom_site_fract_y
_atom_site_fract_z
Pr1 Pr 0.000 0.250 0.375
Si1 Si 0.000 0.250 0.875
Se1 Se 0.000 0.069 0.689
```

E_tot (eV/cell): -116.7
D(E_F) (states/eV per cell): 28.86

# Pr2SiSe4

A relaxed structure of Pr2SiSe4 (PBE, the Alexandria database).

Structure (CIF):
```
data_Pr2SiSe4
_chemical_formula_sum 'Pr4 Si2 Se8'
_space_group_name_H-M_alt 'I 4/m m m'
_space_group_IT_number 139
_space_group_name_Hall '-I 4 2'
_cell_length_a 6.908
_cell_length_b 6.908
_cell_length_c 7.763
_cell_angle_alpha 90.00
_cell_angle_beta 90.00
_cell_angle_gamma 90.00
loop_
_atom_site_label
_atom_site_type_symbol
_atom_site_fract_x
_atom_site_fract_y
_atom_site_fract_z
Pr1 Pr 0.000 0.500 0.250
Si1 Si 0.000 0.000 0.000
Se1 Se 0.247 0.247 0.500
```

E_tot (eV/cell): -73.8
D(E_F) (states/eV per cell): 4.55

# Pr3SiSe6

A relaxed structure of Pr3SiSe6 (PBE, the Alexandria database).

Structure (CIF):
```
data_Pr3SiSe6
_chemical_formula_sum 'Pr12 Si4 Se24'
_space_group_name_H-M_alt 'C m c 21'
_space_group_IT_number 36
_space_group_name_Hall 'C 2c -2'
_cell_length_a 11.552
_cell_length_b 14.304
_cell_length_c 7.009
_cell_angle_alpha 90.00
_cell_angle_beta 90.00
_cell_angle_gamma 90.00
loop_
_atom_site_label
_atom_site_type_symbol
_atom_site_fract_x
_atom_site_fract_y
_atom_site_fract_z
Pr1 Pr 0.000 0.098 0.000
Pr2 Pr 0.182 0.403 0.905
Si1 Si 0.000 0.299 0.359
Se1 Se 0.000 0.285 0.701
Se2 Se 0.000 0.456 0.232
Se3 Se 0.161 0.032 0.701
Se4 Se 0.163 0.238 0.199
```

E_tot (eV/cell): -220.1
D(E_F) (states/eV per cell): 16.26

# Pr3SiSe2

A relaxed structure of Pr3SiSe2 (PBE, the Alexandria database).

Structure (CIF):
```
data_Pr3SiSe2
_chemical_formula_sum 'Pr12 Si4 Se8'
_space_group_name_H-M_alt 'C 1 2/c 1'
_space_group_IT_number 15
_space_group_name_Hall '-C 2yc'
_cell_length_a 7.466
_cell_length_b 12.879
_cell_length_c 7.417
_cell_angle_alpha 90.00
_cell_angle_beta 109.70
_cell_angle_gamma 90.00
loop_
_atom_site_label
_atom_site_type_symbol
_atom_site_fract_x
_atom_site_fract_y
_atom_site_fract_z
Pr1 Pr 0.239 0.079 0.000
Pr2 Pr 0.250 0.250 0.500
Si1 Si 0.000 0.086 0.250
Se1 Se 0.000 0.252 0.750
Se2 Se 0.000 0.417 0.250
```

E_tot (eV/cell): -143.8
D(E_F) (states/eV per cell): 5.85
Excess energy over the best structure of this formula in the dataset (kJ/mol of formula units): 0

# Pr2SiSe

A relaxed structure of Pr2SiSe (PBE, the Alexandria database).

Structure (CIF):
```
data_Pr2SiSe
_chemical_formula_sum 'Pr6 Si3 Se3'
_space_group_name_H-M_alt 'R 3 m'
_space_group_IT_number 160
_space_group_name_Hall 'R 3 -2"'
_cell_length_a 4.2342
_cell_length_b 4.2342
_cell_length_c 22.2479
_cell_angle_alpha 90.00
_cell_angle_beta 90.00
_cell_angle_gamma 120.00
loop_
_atom_site_label
_atom_site_type_symbol
_atom_site_fract_x
_atom_site_fract_y
_atom_site_fract_z
Pr1 Pr 0.0000 0.0000 0.0000
Pr2 Pr 0.0000 0.0000 0.1792
Si1 Si 0.0000 0.0000 0.5893
Se1 Se 0.0000 0.0000 0.7584
```

E_tot (eV/cell): -69.6
D(E_F) (states/eV per cell): 6.76
Excess energy over the best structure of this formula in the dataset (kJ/mol of formula units): 48

# Pr7SiSe5

A relaxed structure of Pr7SiSe5 (PBE, the Alexandria database).

Structure (CIF):
```
data_Pr7SiSe5
_chemical_formula_sum 'Pr28 Si4 Se20'
_space_group_name_H-M_alt 'C 1 m 1'
_space_group_IT_number 8
_space_group_name_Hall 'C -2y'
_cell_length_a 13.941
_cell_length_b 4.223
_cell_length_c 25.078
_cell_angle_alpha 90.00
_cell_angle_beta 90.03
_cell_angle_gamma 90.00
loop_
_atom_site_label
_atom_site_type_symbol
_atom_site_fract_x
_atom_site_fract_y
_atom_site_fract_z
Pr1 Pr 0.000 0.000 0.000
Pr2 Pr 0.000 0.000 0.136
Pr3 Pr 0.057 0.500 0.856
Pr4 Pr 0.058 0.500 0.280
Pr5 Pr 0.103 0.000 0.701
Pr6 Pr 0.105 0.000 0.434
Pr7 Pr 0.160 0.500 0.568
Pr8 Pr 0.232 0.500 0.068
Pr9 Pr 0.288 0.000 0.201
Pr10 Pr 0.288 0.000 0.935
Pr11 Pr 0.334 0.500 0.780
Pr12 Pr 0.335 0.500 0.356
Pr13 Pr 0.392 0.000 0.636
Pr14 Pr 0.393 0.000 0.500
Si1 Si 0.008 0.000 0.568
Si2 Si 0.384 0.000 0.068
Se1 Se 0.143 0.500 0.174
Se2 Se 0.143 0.500 0.962
Se3 Se 0.196 0.000 0.318
Se4 Se 0.196 0.000 0.818
Se5 Se 0.249 0.500 0.674
Se6 Se 0.250 0.500 0.462
Se7 Se 0.420 0.500 0.245
Se8 Se 0.420 0.500 0.890
Se9 Se 0.472 0.000 0.745
Se10 Se 0.473 0.000 0.391
```

E_tot (eV/cell): -304.5
D(E_F) (states/eV per cell): 33.10

# PrSiSe3

A relaxed structure of PrSiSe3 (PBE, the Alexandria database).

Structure (CIF):
```
data_PrSiSe3
_chemical_formula_sum 'Pr4 Si4 Se12'
_space_group_name_H-M_alt 'P 1 21/c 1'
_space_group_IT_number 14
_space_group_name_Hall '-P 2ybc'
_cell_length_a 6.949
_cell_length_b 7.873
_cell_length_c 11.630
_cell_angle_alpha 90.00
_cell_angle_beta 124.35
_cell_angle_gamma 90.00
loop_
_atom_site_label
_atom_site_type_symbol
_atom_site_fract_x
_atom_site_fract_y
_atom_site_fract_z
Pr1 Pr 0.213 0.126 0.252
Si1 Si 0.142 0.599 0.066
Se1 Se 0.077 0.181 0.934
Se2 Se 0.287 0.688 0.941
Se3 Se 0.413 0.019 0.776
```

E_tot (eV/cell): -106.1
D(E_F) (states/eV per cell): 0.00
Excess energy over the best structure of this formula in the dataset (kJ/mol of formula units): 0

# Pr2SiSe

A relaxed structure of Pr2SiSe (PBE, the Alexandria database).

Structure (CIF):
```
data_Pr2SiSe
_chemical_formula_sum 'Pr2 Si1 Se1'
_space_group_name_H-M_alt 'P 4/m m m'
_space_group_IT_number 123
_space_group_name_Hall '-P 4 2'
_cell_length_a 4.287
_cell_length_b 4.287
_cell_length_c 6.049
_cell_angle_alpha 90.00
_cell_angle_beta 90.00
_cell_angle_gamma 90.00
loop_
_atom_site_label
_atom_site_type_symbol
_atom_site_fract_x
_atom_site_fract_y
_atom_site_fract_z
Pr1 Pr 0.000 0.000 0.000
Pr2 Pr 0.500 0.500 0.500
Si1 Si 0.000 0.000 0.500
Se1 Se 0.500 0.500 0.000
```

E_tot (eV/cell): -23.7
D(E_F) (states/eV per cell): 1.07
Excess energy over the best structure of this formula in the dataset (kJ/mol of formula units): 0

# Pr2SiSe

A relaxed structure of Pr2SiSe (PBE, the Alexandria database).

Structure (CIF):
```
data_Pr2SiSe
_chemical_formula_sum 'Pr4 Si2 Se2'
_space_group_name_H-M_alt 'P m m n'
_space_group_IT_number 59
_cell_length_a 4.284
_cell_length_b 6.059
_cell_length_c 8.676
_cell_angle_alpha 90.00
_cell_angle_beta 90.00
_cell_angle_gamma 90.00
loop_
_space_group_symop_operation_xyz
'x,y,z'
'-x,-y,-z'
'-x+1/2,-y+1/2,z'
'x+1/2,y+1/2,-z'
'x+1/2,-y,-z'
'-x+1/2,y,z'
'-x,y+1/2,-z'
'x,-y+1/2,z'
loop_
_atom_site_label
_atom_site_type_symbol
_atom_site_fract_x
_atom_site_fract_y
_atom_site_fract_z
Pr1 Pr 0.250 0.250 0.121
Pr2 Pr 0.250 0.250 0.635
Si1 Si 0.250 0.750 0.127
Se1 Se 0.250 0.750 0.621
```

E_tot (eV/cell): -47.2
D(E_F) (states/eV per cell): 2.48
Excess energy over the best structure of this formula in the dataset (kJ/mol of formula units): 8

| no. | uncorrected formation energy (meV per atom) |
| --- | --- |
| 1 | -1659 |
| 2 | 93 |
| 3 | -1896 |
| 4 | -837 |
| 5 | -1140 |
| 6 | -1437 |
| 7 | -1536 |
| 8 | -1186 |
| 9 | -1525 |
| 10 | -1173 |
| 11 | -1309 |
| 12 | -1289 |